Below is a relaxed structure of Dy8Ga3Te4Se, with properties calculated at the PBE-GGA level.

The value obtained for the raw formation energy is -1.117 eV/atom. The mass density comes out at 7.94 Mg/m³. The total DFT energy (no corrections) comes out at -4.9887 eV/atom. Its density of states at the Fermi level is 16.6 states/eV per cell.

The structure belongs to space group R-3m (No. 166, hexagonal axes); the cell edges are 8.3772, 8.3772 and 21.6548 Å and the angles 90.00°, 90.00° and 120.00°. The asymmetric unit holds Dy at (0.0000, 0.0000, 0.2440), Dy at (0.0044, 0.5022, 0.7580), Ga at (0.0000, 0.5000, 0.5000), Te at (0.0000, 0.0000, 0.0000), Te at (0.0000, 0.5000, 0.0000) and Se at (0.0000, 0.0000, 0.5000).